w) Compound: Na2MnAgF6
Source: Alexandria via LeMat-Bulk
Functional: PBE with a Hubbard U
Structure: relaxed

```
data_Na2MnAgF6
_chemical_formula_sum 'Na8 Mn4 Ag4 F24'
_cell_length_a 8.544
_cell_length_b 8.544
_cell_length_c 8.544
_cell_angle_alpha 90.00
_cell_angle_beta 90.00
_cell_angle_gamma 90.00
_symmetry_space_group_name_H-M 'F m -3 m'
_symmetry_Int_Tables_number 225
_symmetry_space_group_name_Hall '-F 4 2 3'
loop_
_atom_site_label
_atom_site_type_symbol
_atom_site_fract_x
_atom_site_fract_y
_atom_site_fract_z
Na1 Na 0.250 0.250 0.250
Mn1 Mn 0.000 0.000 0.000
Ag1 Ag 0.000 0.000 0.500
F1 F 0.000 0.000 0.234
```

---

x) Compound: Na2MnAgF6
Source: Alexandria via LeMat-Bulk
Functional: PBE with a Hubbard U
Structure: relaxed

```
data_Na2MnAgF6
_chemical_formula_sum 'Na4 Mn2 Ag2 F12'
_cell_length_a 5.758
_cell_length_b 5.962
_cell_length_c 9.956
_cell_angle_alpha 90.00
_cell_angle_beta 124.39
_cell_angle_gamma 90.00
_symmetry_space_group_name_H-M 'P 1 21/c 1'
_symmetry_Int_Tables_number 14
loop_
_symmetry_equiv_pos_as_xyz
'x,y,z'
'-x,-y,-z'
'-x,y+1/2,-z+1/2'
'x,-y+1/2,z+1/2'
loop_
_atom_site_label
_atom_site_type_symbol
_atom_site_fract_x
_atom_site_fract_y
_atom_site_fract_z
Na1 Na 0.234 0.043 0.243
Mn1 Mn 0.500 0.000 0.000
Ag1 Ag 0.000 0.000 0.500
F1 F 0.145 0.088 0.764
F2 F 0.259 0.645 0.548
F3 F 0.447 0.224 0.578
```

---

Going by the energies, x) is most stable and the next is 123 meV per atom up.

---

w) Compound: MnAgOF2
Source: Alexandria via LeMat-Bulk
Functional: PBE with a Hubbard U
Structure: relaxed

```
data_MnAgOF2
_chemical_formula_sum 'Mn1 Ag1 O1 F2'
_cell_length_a 4.125
_cell_length_b 4.125
_cell_length_c 3.802
_cell_angle_alpha 90.00
_cell_angle_beta 90.00
_cell_angle_gamma 90.00
_symmetry_space_group_name_H-M 'P 4/m m m'
_symmetry_Int_Tables_number 123
_symmetry_space_group_name_Hall '-P 4 2'
loop_
_atom_site_label
_atom_site_type_symbol
_atom_site_fract_x
_atom_site_fract_y
_atom_site_fract_z
Mn1 Mn 0.000 0.000 0.000
Ag1 Ag 0.500 0.500 0.500
O1 O 0.000 0.000 0.500
F1 F 0.000 0.500 0.000
```

---

x) Compound: MnAgOF2
Source: Alexandria via LeMat-Bulk
Functional: PBE with a Hubbard U
Structure: relaxed

```
data_MnAgOF2
_chemical_formula_sum 'Mn1 Ag1 O1 F2'
_cell_length_a 4.259
_cell_length_b 4.259
_cell_length_c 4.204
_cell_angle_alpha 90.00
_cell_angle_beta 90.00
_cell_angle_gamma 90.00
_symmetry_space_group_name_H-M 'P 4/m m m'
_symmetry_Int_Tables_number 123
_symmetry_space_group_name_Hall '-P 4 2'
loop_
_atom_site_label
_atom_site_type_symbol
_atom_site_fract_x
_atom_site_fract_y
_atom_site_fract_z
Mn1 Mn 0.000 0.000 0.000
Ag1 Ag 0.500 0.500 0.500
O1 O 0.500 0.500 0.000
F1 F 0.000 0.500 0.500
```

---

Going by the energies, w) is most stable and the next is 749 meV per atom up.

---

w) Compound: AgMoF2
Source: Alexandria via LeMat-Bulk
Functional: PBE with a Hubbard U
Structure: relaxed

```
data_AgMoF2
_chemical_formula_sum 'Ag4 Mo4 F8'
_cell_length_a 6.234
_cell_length_b 6.234
_cell_length_c 6.234
_cell_angle_alpha 90.00
_cell_angle_beta 90.00
_cell_angle_gamma 90.00
_symmetry_space_group_name_H-M 'F m -3 m'
_symmetry_Int_Tables_number 225
_symmetry_space_group_name_Hall '-F 4 2 3'
loop_
_atom_site_label
_atom_site_type_symbol
_atom_site_fract_x
_atom_site_fract_y
_atom_site_fract_z
Ag1 Ag 0.000 0.000 0.000
Mo1 Mo 0.000 0.000 0.500
F1 F 0.250 0.250 0.250
```

---

x) Compound: AgMoF2
Source: Alexandria via LeMat-Bulk
Functional: PBE with a Hubbard U
Structure: relaxed

```
data_AgMoF2
_chemical_formula_sum 'Ag4 Mo4 F8'
_cell_length_a 7.078
_cell_length_b 7.078
_cell_length_c 5.909
_cell_angle_alpha 90.00
_cell_angle_beta 90.00
_cell_angle_gamma 90.00
_symmetry_space_group_name_H-M 'I -4 2 d'
_symmetry_Int_Tables_number 122
_symmetry_space_group_name_Hall 'I -4 2bw'
loop_
_atom_site_label
_atom_site_type_symbol
_atom_site_fract_x
_atom_site_fract_y
_atom_site_fract_z
Ag1 Ag 0.000 0.000 0.000
Mo1 Mo 0.000 0.000 0.500
F1 F 0.151 0.250 0.625
```

---

Going by the energies, x) is most stable and the next is 279 meV per atom up.

---

w) Compound: AgMoN2F
Source: Alexandria via LeMat-Bulk
Functional: PBE with a Hubbard U
Structure: relaxed

```
data_AgMoN2F
_chemical_formula_sum 'Ag1 Mo1 N2 F1'
_cell_length_a 4.116
_cell_length_b 4.116
_cell_length_c 4.136
_cell_angle_alpha 90.00
_cell_angle_beta 90.00
_cell_angle_gamma 90.00
_symmetry_space_group_name_H-M 'P 4/m m m'
_symmetry_Int_Tables_number 123
_symmetry_space_group_name_Hall '-P 4 2'
loop_
_atom_site_label
_atom_site_type_symbol
_atom_site_fract_x
_atom_site_fract_y
_atom_site_fract_z
Ag1 Ag 0.000 0.000 0.000
Mo1 Mo 0.500 0.500 0.500
N1 N 0.000 0.500 0.000
F1 F 0.000 0.000 0.500
```

---

x) Compound: AgMoN2F
Source: Alexandria via LeMat-Bulk
Functional: PBE with a Hubbard U
Structure: relaxed

```
data_AgMoN2F
_chemical_formula_sum 'Ag1 Mo1 N2 F1'
_cell_length_a 3.968
_cell_length_b 3.968
_cell_length_c 4.173
_cell_angle_alpha 90.00
_cell_angle_beta 90.00
_cell_angle_gamma 90.00
_symmetry_space_group_name_H-M 'P 4/m m m'
_symmetry_Int_Tables_number 123
_symmetry_space_group_name_Hall '-P 4 2'
loop_
_atom_site_label
_atom_site_type_symbol
_atom_site_fract_x
_atom_site_fract_y
_atom_site_fract_z
Ag1 Ag 0.000 0.000 0.000
Mo1 Mo 0.500 0.500 0.500
N1 N 0.000 0.500 0.500
F1 F 0.500 0.500 0.000
```

---

Going by the energies, x) is most stable and the next is 1119 meV per atom up.

---

w) Compound: Na2AgMoF6
Source: Alexandria via LeMat-Bulk
Functional: PBE with a Hubbard U
Structure: relaxed

```
data_Na2AgMoF6
_chemical_formula_sum 'Na8 Ag4 Mo4 F24'
_cell_length_a 8.895
_cell_length_b 8.895
_cell_length_c 8.895
_cell_angle_alpha 90.00
_cell_angle_beta 90.00
_cell_angle_gamma 90.00
_symmetry_space_group_name_H-M 'F m -3 m'
_symmetry_Int_Tables_number 225
_symmetry_space_group_name_Hall '-F 4 2 3'
loop_
_atom_site_label
_atom_site_type_symbol
_atom_site_fract_x
_atom_site_fract_y
_atom_site_fract_z
Na1 Na 0.250 0.250 0.250
Ag1 Ag 0.000 0.000 0.000
Mo1 Mo 0.000 0.000 0.500
F1 F 0.000 0.000 0.265
```

---

x) Compound: Na2AgMoF6
Source: Alexandria via LeMat-Bulk
Functional: PBE with a Hubbard U
Structure: relaxed

```
data_Na2AgMoF6
_chemical_formula_sum 'Na4 Ag2 Mo2 F12'
_cell_length_a 5.823
_cell_length_b 6.013
_cell_length_c 10.354
_cell_angle_alpha 90.00
_cell_angle_beta 123.44
_cell_angle_gamma 90.00
_symmetry_space_group_name_H-M 'P 1 21/c 1'
_symmetry_Int_Tables_number 14
loop_
_symmetry_equiv_pos_as_xyz
'x,y,z'
'-x,-y,-z'
'-x,y+1/2,-z+1/2'
'x,-y+1/2,z+1/2'
loop_
_atom_site_label
_atom_site_type_symbol
_atom_site_fract_x
_atom_site_fract_y
_atom_site_fract_z
Na1 Na 0.218 0.035 0.221
Ag1 Ag 0.000 0.000 0.500
Mo1 Mo 0.500 0.000 0.000
F1 F 0.155 0.164 0.969
F2 F 0.227 0.731 0.887
F3 F 0.423 0.120 0.789
```

---

Going by the energies, x) is most stable and the next is 169 meV per atom up.

---

w) Compound: AgMoOF2
Source: Alexandria via LeMat-Bulk
Functional: PBE with a Hubbard U
Structure: relaxed

```
data_AgMoOF2
_chemical_formula_sum 'Ag1 Mo1 O1 F2'
_cell_length_a 4.244
_cell_length_b 4.244
_cell_length_c 4.315
_cell_angle_alpha 90.00
_cell_angle_beta 90.00
_cell_angle_gamma 90.00
_symmetry_space_group_name_H-M 'P 4/m m m'
_symmetry_Int_Tables_number 123
_symmetry_space_group_name_Hall '-P 4 2'
loop_
_atom_site_label
_atom_site_type_symbol
_atom_site_fract_x
_atom_site_fract_y
_atom_site_fract_z
Ag1 Ag 0.000 0.000 0.000
Mo1 Mo 0.500 0.500 0.500
O1 O 0.000 0.000 0.500
F1 F 0.000 0.500 0.000
```

---

x) Compound: AgMoOF2
Source: Alexandria via LeMat-Bulk
Functional: PBE with a Hubbard U
Structure: relaxed

```
data_AgMoOF2
_chemical_formula_sum 'Ag1 Mo1 O1 F2'
_cell_length_a 4.234
_cell_length_b 4.234
_cell_length_c 4.159
_cell_angle_alpha 90.00
_cell_angle_beta 90.00
_cell_angle_gamma 90.00
_symmetry_space_group_name_H-M 'P 4/m m m'
_symmetry_Int_Tables_number 123
_symmetry_space_group_name_Hall '-P 4 2'
loop_
_atom_site_label
_atom_site_type_symbol
_atom_site_fract_x
_atom_site_fract_y
_atom_site_fract_z
Ag1 Ag 0.000 0.000 0.000
Mo1 Mo 0.500 0.500 0.500
O1 O 0.500 0.500 0.000
F1 F 0.000 0.500 0.500
```

---

Going by the energies, x) is most stable and the next is 967 meV per atom up.